Entry from Alexandria via LeMat-Bulk: an optimized crystal structure of CaOs2Ru (PBE).

Lattice parameters (Å, degrees): 2.8326 2.8326 8.3594 90.00 90.00 90.00
Closest atoms and distances in Å follow each position.
Atoms (fractional coordinates):
Os  0.0000  0.0000  0.0392  8 Os 2.66-2.83
Os  0.5000  0.5000  0.2487  8 Os 2.66-2.83, 4 Ru 2.68
Ru  0.0000  0.0000  0.4610  4 Os 2.68, 4 Ru 2.83
Ca  0.5000  0.5000  0.7511  4 Ca 2.83, 4 Os 3.13, 4 Ru 3.15

Energy relative to the lowest polymorph listed for this composition, meV per atom: 0.0
Total DFT energy (no corrections), eV/cell: -32.11
Space-group type: P4mm (99)
DOS at the Fermi energy, states/eV/cell: 6.86
ΔH_f (0 K), meV/atom: 406
Theoretical density, g cm⁻³: 12.91
Total magnetic moment, μB per atom: 0.000